DFT (GGA-PBE) results for a relaxed structure of Os2RhF.

The raw formation energy comes out at 0.59 eV/atom. As for the energy above the most stable polymorph in this dataset: 0.0000 eV/atom. The magnetization is 0.00 μB/cell.

It has space group Fm-3m (No. 225), with a = 5.9986 Å, b = 5.9986 Å, c = 5.9986 Å, α = 90.00°, β = 90.00° and γ = 90.00°. Symmetry generates all atoms from Os at (0.2500, 0.2500, 0.2500), Rh at (0.0000, 0.0000, 0.0000) and F at (0.0000, 0.0000, 0.5000).